Entry 1:
Material: Ba2MgCdRh
Method: DFT, PBE-GGA
State: optimized geometry

- Size of the total moment: 0.000 μB/f.u.
- Density: 4.613 g/cm3
- N(E_F): 0.786 states/eV/atom
- ΔE to the lowest computed polymorph: 0.00 kJ per mole of atoms
- VASP energy: -2.9253 eV/atom
- Energy of formation: -0.184 eV/atom
- Space group: No. 123

a b c (Å): 6.0397 6.0397 5.0754
angles (deg): 90.00 90.00 90.00
Fractional positions:
Rh1 0.0000 0.0000 0.0000
Cd1 0.5000 0.5000 0.5000
Mg1 0.0000 0.0000 0.5000
Ba1 0.5000 0.0000 0.0000
Ba2 0.0000 0.5000 0.0000



Entry 2:
Material: TmNp2PdS5
Method: DFT, PBE-GGA
State: optimized geometry

- Size of the total moment: 7.094 μB/f.u.
- Density: 8.403 g/cm3
- N(E_F): 1.867 states/eV/atom
- Formation energy without anion corrections: -1356 meV/atom
- VASP energy: -7.5984 eV/atom
- Space group: No. 36

a b c (Å): 3.7795 8.3130 11.7501
angles (deg): 90.00 90.00 103.14
Fractional positions:
Tm1 0.8218 0.6437 0.5252
S1 0.3035 0.6070 0.3537
S2 0.9932 0.9864 0.5256
S3 0.0068 0.0136 0.0256
Np1 0.8928 0.7856 0.8509
Np2 0.1072 0.2144 0.3509
Tm2 0.1782 0.3563 0.0252
S4 0.3430 0.6860 0.0218
Pd1 0.4443 0.8886 0.4211
Np3 0.8795 0.7589 0.1967
S5 0.6570 0.3140 0.5218
S6 0.3050 0.6100 0.6882
S7 0.5042 0.0084 0.2408
Np4 0.1205 0.2411 0.6967
S8 0.4958 0.9916 0.7408
Pd2 0.5557 0.1114 0.9211
S9 0.6965 0.3930 0.8537
S10 0.6950 0.3900 0.1882



Entry 3:
Material: Ac2NpAs3Rh4
Method: DFT, PBE-GGA
State: optimized geometry

- Size of the total moment: 4.186 μB/f.u.
- Density: 10.628 g/cm3
- N(E_F): 1.020 states/eV/atom
- VASP energy: -7.2691 eV/atom
- Energy of formation: -0.818 eV/atom
- Space group: No. 115

a b c (Å): 4.2903 4.2903 11.2676
angles (deg): 90.00 90.00 90.00
Fractional positions:
Rh1 0.0000 0.5000 0.3495
Rh2 0.5000 0.5000 0.0000
As1 0.0000 0.0000 0.5000
Ac1 0.5000 0.0000 0.2318
As2 0.0000 0.5000 0.1247
Rh3 0.5000 0.0000 0.6505
Ac2 0.0000 0.5000 0.7682
As3 0.5000 0.0000 0.8753
Rh4 0.0000 0.0000 0.0000
Np1 0.5000 0.5000 0.5000



Entry 4:
Material: YBeP2
Method: DFT, PBE-GGA
State: optimized geometry

- Size of the total moment: 0.000 μB/f.u.
- Density: 4.021 g/cm3
- N(E_F): 0.484 states/eV/atom
- VASP energy: -5.4015 eV/atom
- Energy of formation: -0.149 eV/atom
- Space group: No. 139

a b c (Å): 4.9849 4.9849 4.9849
angles (deg): 132.52 132.52 69.41
Fractional positions:
P1 0.5000 0.5000 0.0000
Y1 0.2500 0.7500 0.5000
Be1 0.7500 0.2500 0.5000
P2 0.0000 0.0000 0.0000



Entry 5:
Material: V3CuAs
Method: DFT, PBE-GGA
State: optimized geometry

- Size of the total moment: 3.616 μB/f.u.
- Density: 5.293 g/cm3
- N(E_F): 1.526 states/eV/atom
- ΔE to the lowest computed polymorph: 0.00 kJ per mole of atoms
- VASP energy: -6.3262 eV/atom
- Energy of formation: 0.894 eV/atom
- Space group: No. 221

a b c (Å): 4.5043 4.5043 4.5043
angles (deg): 90.00 90.00 90.00
Fractional positions:
Cu1 0.5000 0.5000 0.5000
V1 0.5000 0.0000 0.0000
V2 0.0000 0.5000 0.0000
As1 0.0000 0.0000 0.0000
V3 0.0000 0.0000 0.5000



Entry 6:
Material: LiPmFeC
Method: DFT, PBE-GGA
State: optimized geometry

- Size of the total moment: 0.000 μB/f.u.
- Density: 5.637 g/cm3
- N(E_F): 0.683 states/eV/atom
- VASP energy: -6.1542 eV/atom
- Energy of formation: -0.066 eV/atom
- Space group: No. 129

a b c (Å): 3.4532 3.4532 10.8591
angles (deg): 90.00 90.00 90.00
Fractional positions:
Pm1 0.7500 0.7500 0.2189
Fe1 0.7500 0.2500 0.0000
Fe2 0.2500 0.7500 0.0000
Li1 0.7500 0.2500 0.5000
Li2 0.2500 0.7500 0.5000
C1 0.2500 0.2500 0.0889
Pm2 0.2500 0.2500 0.7811
C2 0.7500 0.7500 0.9111



Entry 7:
Material: CePm3Y
Method: DFT, PBE-GGA
State: optimized geometry

- Size of the total moment: 0.530 μB/f.u.
- Density: 6.683 g/cm3
- N(E_F): 2.023 states/eV/atom
- VASP energy: -5.2535 eV/atom
- Energy of formation: 0.076 eV/atom
- Space group: No. 2

a b c (Å): 6.8198 12.2838 11.8736
angles (deg): 48.00 74.82 95.57
Fractional positions:
Pm1 0.8869 0.8809 0.3640
Pm2 0.1242 0.7252 0.9480
Ce1 0.9711 0.7207 0.7207
Pm3 0.1794 0.5283 0.3402
Y1 0.2307 0.9466 0.0268
Ce2 0.3232 0.0070 0.4580
Pm4 0.3828 0.2117 0.0562
Ce3 0.6768 0.9930 0.5420
Pm5 0.8206 0.4717 0.6598
Pm6 0.1131 0.1191 0.6360
Pm7 0.6172 0.7883 0.9438
Y2 0.7693 0.0534 0.9732
Pm8 0.6444 0.2231 0.6038
Pm9 0.8758 0.2748 0.0520
Ce4 0.0289 0.2793 0.2793
Pm10 0.4151 0.5908 0.7956
Pm11 0.5849 0.4092 0.2044
Pm12 0.3556 0.7769 0.3962
Y3 0.7183 0.6366 0.2934
Y4 0.2817 0.3634 0.7066



Entry 8:
Material: RbPtN2
Method: DFT, PBE-GGA
State: optimized geometry

- Size of the total moment: 0.000 μB/f.u.
- Density: 9.186 g/cm3
- N(E_F): 0.896 states/eV/atom
- Formation energy without anion corrections: 2070 meV/atom
- ΔE to the lowest computed polymorph: 136.43 kJ per mole of atoms
- VASP energy: -3.8448 eV/atom
- Space group: No. 225

a b c (Å): 4.2887 4.2887 4.2887
angles (deg): 60.00 60.00 60.00
Fractional positions:
N1 0.2500 0.2500 0.2500
Rb1 0.0000 0.0000 0.0000
N2 0.7500 0.7500 0.7500
Pt1 0.5000 0.5000 0.5000